Entry 1:
{"formula": "V2TcO", "functional": "GGA+U", "state": "relaxed", "cell": [[-2.830, 2.830, 3.845], [2.830, -2.830, 3.845], [2.830, 2.830, -3.845]], "species": ["V", "V", "V", "V", "Tc", "Tc", "O", "O"], "frac_coords": [[0.043, 0.625, 0.918], [0.375, 0.293, 0.418], [0.707, 0.125, 0.082], [0.875, 0.957, 0.582], [0.250, 0.750, 0.500], [0.500, 0.500, 0.000], [0.000, 0.000, 0.000], [0.750, 0.250, 0.500]], "relative_energy_mev_per_atom": 0.0, "magnetic_moment_mub_per_atom": 0.7589, "dos_ef_per_ev_atom": 0.579, "dft_energy_ev_per_atom": -7.423}

=====

Entry 2:
{"formula": "VTc2O8", "functional": "GGA+U", "state": "relaxed", "cell": [[5.791, 0.000, 0.000], [-2.896, 5.015, 0.000], [0.000, 0.000, 6.625]], "species": ["V", "Tc", "Tc", "O", "O", "O", "O", "O", "O", "O", "O"], "frac_coords": [[0.000, 0.000, 0.000], [0.333, 0.667, 0.732], [0.667, 0.333, 0.268], [0.169, 0.337, 0.822], [0.169, 0.831, 0.822], [0.333, 0.667, 0.473], [0.337, 0.169, 0.178], [0.663, 0.831, 0.822], [0.667, 0.333, 0.527], [0.831, 0.169, 0.178], [0.831, 0.663, 0.178]], "magnetic_moment_mub_per_atom": 0.2729, "dos_ef_per_ev_atom": 0.003, "dft_energy_ev_per_atom": -7.689}

=====

Entry 3:
{"formula": "VTcO4", "functional": "GGA+U", "state": "relaxed", "cell": [[-2.717, 2.717, 4.310], [2.717, -2.717, 4.310], [2.717, 2.717, -4.310]], "species": ["V", "Tc", "O", "O", "O", "O"], "frac_coords": [[0.000, 0.000, 0.000], [0.750, 0.250, 0.500], [0.006, 0.614, 0.873], [0.386, 0.259, 0.392], [0.741, 0.134, 0.127], [0.866, 0.994, 0.608]], "relative_energy_mev_per_atom": 258.4, "magnetic_moment_mub_per_atom": 0.6694, "dos_ef_per_ev_atom": 0.144, "dft_energy_ev_per_atom": -7.679}

=====

Entry 4:
{"formula": "VTc2O2", "functional": "GGA+U", "state": "relaxed", "cell": [[-2.134, 2.134, 3.514], [2.134, -2.134, 3.514], [2.134, 2.134, -3.514]], "species": ["V", "Tc", "Tc", "O", "O"], "frac_coords": [[0.000, 0.000, 0.000], [0.250, 0.750, 0.500], [0.750, 0.250, 0.500], [0.279, 0.279, 0.000], [0.721, 0.721, 0.000]], "relative_energy_mev_per_atom": 724.7, "magnetic_moment_mub_per_atom": 0.1410, "dos_ef_per_ev_atom": 0.639, "dft_energy_ev_per_atom": -7.663}

=====

Entry 5:
{"formula": "VTcO4", "functional": "GGA+U", "state": "relaxed", "cell": [[-3.263, 3.263, 3.090], [3.263, -3.263, 3.090], [3.263, 3.263, -3.090]], "species": ["V", "V", "Tc", "Tc", "O", "O", "O", "O", "O", "O", "O", "O"], "frac_coords": [[0.000, 0.000, 0.000], [0.750, 0.250, 0.500], [0.244, 0.744, 0.500], [0.494, 0.494, 0.000], [0.002, 0.304, 0.303], [0.002, 0.699, 0.697], [0.054, 0.252, 0.803], [0.449, 0.252, 0.197], [0.495, 0.191, 0.696], [0.495, 0.800, 0.304], [0.550, 0.745, 0.804], [0.941, 0.745, 0.196]], "relative_energy_mev_per_atom": 0.0, "magnetic_moment_mub_per_atom": 0.6238, "dos_ef_per_ev_atom": 0.369, "dft_energy_ev_per_atom": -7.937}

=====

Entry 6:
{"formula": "VTcO6", "functional": "GGA+U", "state": "relaxed", "cell": [[5.198, 0.000, 0.000], [0.000, 5.199, 0.000], [-2.598, -2.593, 3.748]], "species": ["V", "Tc", "O", "O", "O", "O", "O", "O"], "frac_coords": [[0.000, 0.000, 0.000], [0.500, 0.500, 0.000], [0.200, 0.693, 0.002], [0.239, 0.241, 0.483], [0.310, 0.200, 0.002], [0.690, 0.800, 0.998], [0.761, 0.759, 0.517], [0.800, 0.307, 0.998]], "magnetic_moment_mub_per_atom": 0.0000, "dos_ef_per_ev_atom": 0.531, "dft_energy_ev_per_atom": -7.268}